## Pm2Ho8Pu (PBE-GGA)

Data for an optimized crystal structure of Pm2Ho8Pu.

abc: 9.9874 9.9874 5.6529
angles: 92.32 92.32 39.90
With the nearest neighbours (Å) after each atom.
Sites, in units of the cell vectors:
Pm 0.2186 0.2186 0.2477  7 Ho 3.21-3.48
Pm 0.7814 0.7814 0.7523  7 Ho 3.21-3.48
Ho 0.0477 0.0477 0.2355  1 Ho 3.14, 1 Pm 3.21
Ho 0.1092 0.6355 0.2651  5 Ho 3.23-3.59, 1 Pu 3.39, 1 Pm 3.40
Ho 0.3197 0.3197 0.7639  4 Pm 3.40-3.48, 4 Ho 3.46-3.52, 1 Pu 3.58
Ho 0.3645 0.8908 0.7349  5 Ho 3.23-3.59, 1 Pu 3.39, 1 Pm 3.40
Ho 0.6355 0.1092 0.2651  5 Ho 3.23-3.59, 1 Pu 3.39, 1 Pm 3.40
Ho 0.6803 0.6803 0.2361  4 Pm 3.40-3.48, 4 Ho 3.46-3.52, 1 Pu 3.58
Ho 0.8908 0.3645 0.7349  5 Ho 3.23-3.59, 1 Pu 3.39, 1 Pm 3.40
Ho 0.9523 0.9523 0.7645  1 Ho 3.14, 1 Pm 3.21
Pu 0.5000 0.5000 0.0000  10 Ho 3.39-3.75

**Space group**: C2/m, No. 12
**Total magnetization**: 0.5809 μB per atom
**Total DFT energy (no corrections)**: -5.298 eV/atom

=====

## Pm3HoPu3S8 (PBE-GGA)

Data for an optimized crystal structure of Pm3HoPu3S8.

abc: 7.9861 7.9861 7.9861
angles: 59.80 59.80 59.80
With the nearest neighbours (Å) after each atom.
Sites, in units of the cell vectors:
Pm 0.0000 0.5000 0.5000  6 S 2.84-2.85
Pm 0.5000 0.0000 0.5000  6 S 2.84-2.85
Pm 0.5000 0.5000 0.0000  6 S 2.84-2.85
Ho 0.5000 0.5000 0.5000  6 S 2.76
Pu 0.0000 0.0000 0.5000  6 S 2.79-2.80
Pu 0.0000 0.5000 0.0000  6 S 2.79-2.80
Pu 0.5000 0.0000 0.0000  6 S 2.79-2.80
S 0.2472 0.2472 0.2472  3 Pu 2.79, 3 Pm 2.85
S 0.2520 0.7444 0.7444  1 Ho 2.76, 2 Pu 2.80, 2 Pm 2.84
S 0.2556 0.2556 0.7480  1 Ho 2.76, 2 Pu 2.80, 2 Pm 2.84
S 0.2556 0.7480 0.2556  1 Ho 2.76, 2 Pu 2.80, 2 Pm 2.84
S 0.7444 0.2520 0.7444  1 Ho 2.76, 2 Pu 2.80, 2 Pm 2.84
S 0.7444 0.7444 0.2520  1 Ho 2.76, 2 Pu 2.80, 2 Pm 2.84
S 0.7480 0.2556 0.2556  1 Ho 2.76, 2 Pu 2.80, 2 Pm 2.84
S 0.7528 0.7528 0.7528  3 Pu 2.79, 3 Pm 2.85

**Space group**: R-3m, No. 166
**Total magnetization**: 1.1231 μB per atom
**Total DFT energy (no corrections)**: -8.267 eV/atom

=====

## PmHoPu2S4 (PBE-GGA)

Data for an optimized crystal structure of PmHoPu2S4.

abc: 6.8123 3.9540 6.9136
angles: 90.00 109.52 90.00
With the nearest neighbours (Å) after each atom.
Sites, in units of the cell vectors:
Pm 0.0000 0.0000 0.0000  6 S 2.82-2.83
Ho 0.0000 0.5000 0.5000  6 S 2.77-2.78
Pu 0.5000 0.0000 0.5000  6 S 2.77-2.78
Pu 0.5000 0.5000 0.0000  6 S 2.82-2.83
S 0.2481 0.0000 0.7444  2 Ho 2.78, 3 Pu 2.78-2.82, 1 Pm 2.82
S 0.2529 0.5000 0.2577  3 Pu 2.77-2.83, 1 Ho 2.77, 2 Pm 2.83
S 0.7471 0.5000 0.7423  3 Pu 2.77-2.83, 1 Ho 2.77, 2 Pm 2.83
S 0.7519 0.0000 0.2556  2 Ho 2.78, 3 Pu 2.78-2.82, 1 Pm 2.82

**Space group**: P2/m, No. 10
**Total magnetization**: 0.0137 μB per atom
**Total DFT energy (no corrections)**: -8.711 eV/atom

=====

## PmHo2PuS4 (PBE-GGA)

Data for an optimized crystal structure of PmHo2PuS4.

abc: 6.8238 3.9214 6.8465
angles: 90.00 109.15 90.00
With the nearest neighbours (Å) after each atom.
Sites, in units of the cell vectors:
Pm 0.0000 0.0000 0.0000  6 S 2.83-2.84
Ho 0.0000 0.5000 0.5000  6 S 2.76
Ho 0.5000 0.0000 0.5000  6 S 2.74
Pu 0.5000 0.5000 0.0000  6 S 2.81
S 0.2500 0.0000 0.7416  3 Ho 2.74-2.76, 2 Pu 2.81, 1 Pm 2.83
S 0.2565 0.5000 0.2610  3 Ho 2.74-2.76, 1 Pu 2.81, 2 Pm 2.84
S 0.7435 0.5000 0.7390  3 Ho 2.74-2.76, 1 Pu 2.81, 2 Pm 2.84
S 0.7500 0.0000 0.2584  3 Ho 2.74-2.76, 2 Pu 2.81, 1 Pm 2.83

**Space group**: P2/m, No. 10
**Total magnetization**: 0.7296 μB per atom
**Total DFT energy (no corrections)**: -7.554 eV/atom

=====

Repeat the third record exactly.
## PmHoPu2S4 (PBE-GGA)

Data for an optimized crystal structure of PmHoPu2S4.

abc: 6.8123 3.9540 6.9136
angles: 90.00 109.52 90.00
With the nearest neighbours (Å) after each atom.
Sites, in units of the cell vectors:
Pm 0.0000 0.0000 0.0000  6 S 2.82-2.83
Ho 0.0000 0.5000 0.5000  6 S 2.77-2.78
Pu 0.5000 0.0000 0.5000  6 S 2.77-2.78
Pu 0.5000 0.5000 0.0000  6 S 2.82-2.83
S 0.2481 0.0000 0.7444  2 Ho 2.78, 3 Pu 2.78-2.82, 1 Pm 2.82
S 0.2529 0.5000 0.2577  3 Pu 2.77-2.83, 1 Ho 2.77, 2 Pm 2.83
S 0.7471 0.5000 0.7423  3 Pu 2.77-2.83, 1 Ho 2.77, 2 Pm 2.83
S 0.7519 0.0000 0.2556  2 Ho 2.78, 3 Pu 2.78-2.82, 1 Pm 2.82

**Space group**: P2/m, No. 10
**Total magnetization**: 0.0137 μB per atom
**Total DFT energy (no corrections)**: -8.711 eV/atom

=====

Please write out number 1 again, unchanged.
## Pm2Ho8Pu (PBE-GGA)

Data for an optimized crystal structure of Pm2Ho8Pu.

abc: 9.9874 9.9874 5.6529
angles: 92.32 92.32 39.90
With the nearest neighbours (Å) after each atom.
Sites, in units of the cell vectors:
Pm 0.2186 0.2186 0.2477  7 Ho 3.21-3.48
Pm 0.7814 0.7814 0.7523  7 Ho 3.21-3.48
Ho 0.0477 0.0477 0.2355  1 Ho 3.14, 1 Pm 3.21
Ho 0.1092 0.6355 0.2651  5 Ho 3.23-3.59, 1 Pu 3.39, 1 Pm 3.40
Ho 0.3197 0.3197 0.7639  4 Pm 3.40-3.48, 4 Ho 3.46-3.52, 1 Pu 3.58
Ho 0.3645 0.8908 0.7349  5 Ho 3.23-3.59, 1 Pu 3.39, 1 Pm 3.40
Ho 0.6355 0.1092 0.2651  5 Ho 3.23-3.59, 1 Pu 3.39, 1 Pm 3.40
Ho 0.6803 0.6803 0.2361  4 Pm 3.40-3.48, 4 Ho 3.46-3.52, 1 Pu 3.58
Ho 0.8908 0.3645 0.7349  5 Ho 3.23-3.59, 1 Pu 3.39, 1 Pm 3.40
Ho 0.9523 0.9523 0.7645  1 Ho 3.14, 1 Pm 3.21
Pu 0.5000 0.5000 0.0000  10 Ho 3.39-3.75

**Space group**: C2/m, No. 12
**Total magnetization**: 0.5809 μB per atom
**Total DFT energy (no corrections)**: -5.298 eV/atom